Entry 1:
This record from Alexandria via LeMat-Bulk describes a geometry-optimized Mn2BeCr structure. The functional is GGA-PBEsol.

## Properties
- formation enthalpy at 0 K (meV per atom) = 9
- energy (eV per atom) = -8.43

Unit cell a=2.350 b=3.801 c=4.558 alpha=90.00 beta=102.48 gamma=90.00
Sites, in units of the cell vectors:
1 Mn 0.000 0.000 0.000
2 Mn 0.234 0.500 0.742
3 Be 0.746 0.500 0.237
4 Cr 0.443 0.000 0.477

=====

Entry 2:
This record from Alexandria via LeMat-Bulk describes a geometry-optimized Mn2BeCr structure. The functional is GGA-PBEsol.

## Properties
- formation enthalpy at 0 K (meV per atom) = -39
- energy (eV per atom) = -8.48

Unit cell a=2.778 b=2.778 c=5.199 alpha=90.00 beta=90.00 gamma=90.00
Sites, in units of the cell vectors:
1 Mn 0.000 0.000 0.238
2 Mn 0.000 0.000 0.762
3 Be 0.500 0.500 0.000
4 Cr 0.500 0.500 0.500

=====

Entry 3:
This record from Alexandria via LeMat-Bulk describes a geometry-optimized MnBe4Cr structure. The functional is GGA-PBEsol.

## Properties
- formation enthalpy at 0 K (meV per atom) = -226
- energy (eV per atom) = -6.23

Unit cell a=4.134 b=4.134 c=4.134 alpha=60.00 beta=60.00 gamma=60.00
Sites, in units of the cell vectors:
1 Mn 0.000 0.000 0.000
2 Be 0.375 0.375 0.375
3 Be 0.375 0.375 0.874
4 Be 0.375 0.874 0.375
5 Be 0.874 0.375 0.375
6 Cr 0.750 0.750 0.750

=====

Entry 4:
This record from Alexandria via LeMat-Bulk describes a geometry-optimized MnBeCr structure. The functional is GGA-PBEsol.

## Properties
- formation enthalpy at 0 K (meV per atom) = -50
- energy (eV per atom) = -8.05

Unit cell a=2.789 b=2.789 c=7.560 alpha=90.00 beta=90.00 gamma=90.00
Sites, in units of the cell vectors:
1 Mn 0.000 0.000 0.000
2 Mn 0.500 0.500 0.500
3 Be 0.000 0.000 0.667
4 Be 0.500 0.500 0.167
5 Cr 0.000 0.000 0.342
6 Cr 0.500 0.500 0.842